The following is a PBE-GGA calculation of a geometry-optimized Hf5ScAl3 structure, from Alexandria via LeMat-Bulk.

Geometry as POSCAR:
```
Hf5ScAl3
1.0
8.398 0.000 0.000
-4.199 7.273 0.000
0.000 0.000 5.913
Hf Sc Al
10 2 6
Cartesian
-1.401 2.427 1.478
-2.798 4.846 4.435
0.000 4.849 0.000
0.000 4.849 2.956
2.802 0.000 1.478
1.401 2.427 4.435
5.596 0.000 4.435
2.798 4.846 1.478
4.199 2.424 0.000
4.199 2.424 2.956
0.000 0.000 0.000
0.000 0.000 2.956
-1.409 2.440 4.435
-2.790 4.833 1.478
2.817 0.000 4.435
1.409 2.440 1.478
5.581 0.000 1.478
2.790 4.833 4.435
```

Summary:
Mass density in g cm⁻³: 9.4
N(E_F) in states/eV per cell: 16.89
Final energy in eV/atom: -7.748
Energy of formation in eV/atom: -0.267